The following is a DFT calculation (GGA-PBE) of a geometry-optimized Ac4HoMg2 structure.

The value obtained for the total energy is -3.324 eV per atom. Its volume is 559.3 Å³/cell. As for the total magnetization: 0.0 μB/cell. The formation energy comes out at 0.133 eV per atom.

Cell and atoms, written as CIF:
```
data_Ac4HoMg2
_cell_length_a 8.0554
_cell_length_b 8.0554
_cell_length_c 8.6186
_cell_angle_alpha 90.00
_cell_angle_beta 90.00
_cell_angle_gamma 90.00
_space_group_name_H-M_alt 'I 4/m m m'
_space_group_IT_number 139
_space_group_name_Hall '-I 4 2'
loop_
_atom_site_label
_atom_site_type_symbol
_atom_site_fract_x
_atom_site_fract_y
_atom_site_fract_z
Ac1 Ac 0.2500 0.2500 0.2500
Ho1 Ho 0.0000 0.0000 0.0000
Mg1 Mg 0.0000 0.5000 0.0000
```